Record 1
! CsK5Zn4Sn5S17 (PBE, relaxed); values from VASP
&SYSTEM
  ibrav = 0, nat = 32, ntyp = 5
/
ATOMIC_SPECIES
Cs 132.91 Cs.upf
K 39.10 K.upf
Zn 65.41 Zn.upf
Sn 118.71 Sn.upf
S 32.06 S.upf
ATOMIC_POSITIONS angstrom
Cs 0.000 0.000 0.000
K 3.656 -3.353 2.434
K 10.362 -3.353 2.434
K 3.656 3.353 2.434
K 10.362 3.353 2.434
K 0.000 7.009 2.434
Zn 5.084 0.000 1.079
Zn 8.935 0.000 1.079
Zn 7.009 -1.925 3.790
Zn 7.009 1.925 3.790
Sn 7.009 3.136 0.262
Sn 3.136 7.009 -0.262
Sn 3.874 0.000 4.607
Sn 0.000 0.000 4.869
Sn 0.000 3.874 5.131
S 5.020 1.910 -0.304
S 8.998 1.910 -0.304
S 7.009 5.005 -1.389
S 3.929 7.009 -2.534
S 3.081 0.000 2.335
S 7.009 0.000 2.434
S 1.910 5.020 0.304
S 5.099 -1.989 5.172
S 0.000 2.004 3.480
S 7.009 3.929 2.534
S 5.005 7.009 1.389
S 2.004 0.000 6.258
S 1.910 8.998 0.304
S 5.099 1.989 5.172
S -1.989 5.099 4.565
S 1.989 5.099 4.565
S 0.000 3.081 7.403
CELL_PARAMETERS angstrom
-7.009 7.009 4.869
7.009 -7.009 4.869
7.009 7.009 -4.869
! * space group: I-4m2
! * uncorrected formation energy: -80 kJ per mole of atoms
! * mass density: 3000 kg/m³
! * total DFT energy (no corrections): -4.00 eV/atom

Record 2
! Ca2Cu2SbPd5 (PBE, relaxed); values from VASP
&SYSTEM
  ibrav = 0, nat = 20, ntyp = 4
/
ATOMIC_SPECIES
Ca 40.08 Ca.upf
Cu 63.55 Cu.upf
Sb 121.76 Sb.upf
Pd 106.42 Pd.upf
ATOMIC_POSITIONS angstrom
Ca 1.669 3.157 0.000
Ca 3.157 7.983 0.000
Ca 6.495 1.669 0.000
Ca 7.983 6.495 0.000
Cu 1.204 6.030 0.000
Cu 3.622 1.204 0.000
Cu 6.030 8.447 0.000
Cu 8.447 3.622 0.000
Sb 0.000 0.000 0.000
Sb 4.826 4.826 0.000
Pd 0.000 4.826 1.916
Pd 0.645 7.647 1.916
Pd 2.005 0.645 1.916
Pd 2.821 5.471 1.916
Pd 4.181 2.821 1.916
Pd 4.826 0.000 1.916
Pd 5.471 6.831 1.916
Pd 6.831 4.181 1.916
Pd 7.647 9.007 1.916
Pd 9.007 2.005 1.916
CELL_PARAMETERS angstrom
9.652 0.000 0.000
0.000 9.652 0.000
0.000 0.000 3.832
! * space group: P4/mbm
! * uncorrected formation energy: -55 kJ per mole of atoms
! * mass density: 8012 kg/m³
! * total DFT energy (no corrections): -4.80 eV/atom

Record 3
! CaSmZnCu (PBE, relaxed); values from VASP
&SYSTEM
  ibrav = 0, nat = 4, ntyp = 4
/
ATOMIC_SPECIES
Ca 40.08 Ca.upf
Sm 150.36 Sm.upf
Zn 65.41 Zn.upf
Cu 63.55 Cu.upf
ATOMIC_POSITIONS angstrom
Ca 0.000 0.000 0.000
Sm 3.594 3.594 3.594
Zn 1.797 1.797 1.797
Cu 5.392 5.392 5.392
CELL_PARAMETERS angstrom
0.000 3.594 3.594
3.594 0.000 3.594
3.594 3.594 0.000
! * space group: F-43m
! * DFT formation energy: -4.51 kcal/mol of atoms
! * mass density: 5710 kg/m³
! * total DFT energy (no corrections): -3.22 eV/atom

Record 4
! Cr5Hg3Cl12 (PBE, relaxed); values from VASP
&SYSTEM
  ibrav = 0, nat = 80, ntyp = 3
/
ATOMIC_SPECIES
Cr 52.00 Cr.upf
Hg 200.59 Hg.upf
Cl 35.45 Cl.upf
ATOMIC_POSITIONS angstrom
Cr 0.000 0.000 0.000
Cr 4.051 4.051 -4.051
Cr 4.051 -4.051 4.051
Cr 8.101 0.000 0.000
Cr 12.152 2.025 0.000
Cr 8.101 -4.051 6.076
Cr 6.076 8.101 -4.051
Cr 6.076 0.000 4.051
Cr 4.051 6.076 0.000
Cr 8.101 4.051 2.025
Cr -4.051 4.051 4.051
Cr 0.000 8.101 0.000
Cr 0.000 0.000 8.101
Cr 4.051 4.051 4.051
Cr 0.000 4.051 6.076
Cr 4.051 2.025 8.101
Cr 2.025 8.101 4.051
Cr 2.025 0.000 12.152
Cr 0.000 12.152 2.025
Cr -4.051 6.076 8.101
Hg 4.051 2.025 0.000
Hg 8.101 4.051 -2.025
Hg 2.025 0.000 4.051
Hg 10.127 0.000 4.051
Hg 0.000 4.051 2.025
Hg 4.051 -2.025 8.101
Hg 4.051 10.127 0.000
Hg 8.101 4.051 6.076
Hg -2.025 8.101 4.051
Hg 6.076 8.101 4.051
Hg 0.000 4.051 10.127
Hg 4.051 6.076 8.101
Cl 2.311 -0.599 0.656
Cl 9.841 4.707 -4.650
Cl 10.412 0.599 0.656
Cl 9.841 -3.395 4.650
Cl 7.502 -0.656 2.311
Cl 12.751 -1.740 3.395
Cl 0.656 2.311 -0.599
Cl 11.496 3.452 -1.740
Cl 4.707 4.650 -1.740
Cl 7.445 2.311 0.599
Cl -0.599 0.656 2.311
Cl 4.650 -1.740 4.707
Cl 7.502 7.445 -2.311
Cl 4.650 1.740 3.395
Cl 4.707 -4.650 9.841
Cl 7.445 -2.311 7.502
Cl 3.395 4.650 1.740
Cl 8.757 5.790 0.599
Cl 4.650 9.841 -3.395
Cl 7.502 0.656 5.790
Cl 2.311 7.502 -0.656
Cl 9.841 3.395 3.452
Cl 1.740 3.395 4.650
Cl 2.311 0.599 7.445
Cl 5.790 7.502 0.656
Cl 6.361 4.707 3.452
Cl -1.740 4.707 4.650
Cl 5.790 0.599 8.757
Cl 0.599 7.445 2.311
Cl 3.452 -1.740 11.496
Cl -0.656 2.311 7.502
Cl 4.707 3.452 6.361
Cl 0.656 10.412 0.599
Cl 3.395 12.751 -1.740
Cl 3.452 6.361 4.707
Cl 0.599 0.656 10.412
Cl 3.452 9.841 3.395
Cl 8.700 7.445 5.790
Cl 0.656 5.790 7.502
Cl 3.395 3.452 9.841
Cl -3.395 4.650 9.841
Cl 7.445 5.790 8.700
Cl -4.650 9.841 4.707
Cl 0.599 8.757 5.790
Cl -1.740 11.496 3.452
Cl -2.311 7.502 7.445
Cl -1.740 3.395 12.751
Cl 5.790 8.700 7.445
CELL_PARAMETERS angstrom
-8.101 8.101 8.101
8.101 -8.101 8.101
8.101 8.101 -8.101
! * space group: Ia-3d
! * uncorrected formation energy: -64 kJ per mole of atoms
! * mass density: 4020 kg/m³
! * total DFT energy (no corrections): -4.22 eV/atom

Record 5
! LiTiO2 (PBE, relaxed); values from VASP
&SYSTEM
  ibrav = 0, nat = 16, ntyp = 3
/
ATOMIC_SPECIES
Li 6.94 Li.upf
Ti 47.87 Ti.upf
O 16.00 O.upf
ATOMIC_POSITIONS angstrom
Li 0.000 0.000 0.000
Li -1.457 2.091 1.470
Li 0.000 4.181 0.000
Li 1.457 2.091 1.470
Ti 1.457 2.091 -1.470
Ti 1.457 -2.091 1.470
Ti 2.914 0.000 0.000
Ti 0.000 0.000 2.940
O 2.914 -2.091 2.810
O 1.457 4.171 -1.470
O 1.457 -0.010 1.470
O 2.914 2.091 0.044
O 0.000 2.091 2.896
O -1.457 4.192 1.470
O 1.457 4.192 1.470
O 0.000 6.272 0.130
CELL_PARAMETERS angstrom
-2.914 4.181 2.940
2.914 -4.181 2.940
2.914 4.181 -2.940
! * space group: Imma
! * uncorrected formation energy: -253 kJ per mole of atoms
! * mass density: 4024 kg/m³
! * total DFT energy (no corrections): -7.55 eV/atom

Record 6
! InAsSe3 (PBE, relaxed); values from VASP
&SYSTEM
  ibrav = 0, nat = 5, ntyp = 3
/
ATOMIC_SPECIES
In 114.82 In.upf
As 74.92 As.upf
Se 78.96 Se.upf
ATOMIC_POSITIONS angstrom
In 0.000 0.000 0.000
As 2.560 2.560 2.560
Se 0.000 2.560 2.560
Se 2.560 0.000 2.560
Se 2.560 2.560 0.000
CELL_PARAMETERS angstrom
5.120 0.000 0.000
0.000 5.120 0.000
0.000 0.000 5.120
! * distance to the lowest polymorph of the same formula: 0.4792 eV/atom
! * space group: Pm-3m
! * uncorrected formation energy: 18 kJ per mole of atoms
! * mass density: 5278 kg/m³
! * total DFT energy (no corrections): -3.38 eV/atom